A plane-wave DFT calculation with meta-GGA SCAN was carried out for a crystal of TaMn4Os relaxed with PBEsol.

Cell: 4.669 4.669 4.669 Å, 60.00 60.00 60.00°
Element x y z (fractional)
Mn (0.374, 0.374, 0.374)
Mn (0.374, 0.374, 0.877)
Mn (0.877, 0.374, 0.374)
Mn (0.374, 0.877, 0.374)
Os (0.750, 0.750, 0.750)
Ta (0.000, 0.000, 0.000)

Formation energy from the elements ... -0.0714 eV per atom



A plane-wave DFT calculation with meta-GGA SCAN was carried out for a crystal of LaOsPt2 relaxed with PBEsol.

Cell: 4.007 4.338 5.088 Å, 115.23 113.19 90.00°
Element x y z (fractional)
La (0.500, 0.000, 0.000)
Os (0.000, 0.500, 0.000)
Pt (0.738, 0.738, 0.476)
Pt (0.262, 0.262, 0.524)

Formation energy from the elements ... -0.0665 eV per atom



A plane-wave DFT calculation with meta-GGA SCAN was carried out for a crystal of Li2YW relaxed with PBEsol.

Cell: 2.772 5.200 5.484 Å, 96.70 104.64 90.00°
Element x y z (fractional)
Li (0.239, 0.209, 0.478)
Li (0.761, 0.791, 0.522)
W (0.500, 0.000, 0.000)
Y (0.000, 0.500, 0.000)

Formation energy from the elements ... 0.5905 eV per atom



A plane-wave DFT calculation with meta-GGA SCAN was carried out for a crystal of Ca2Cd2In relaxed with PBEsol.

Cell: 4.203 7.941 7.941 Å, 90.00 90.00 90.00°
Element x y z (fractional)
Ca (0.500, 0.173, 0.673)
Ca (0.500, 0.673, 0.827)
Ca (0.500, 0.827, 0.327)
Ca (0.500, 0.327, 0.173)
Cd (0.000, 0.373, 0.873)
Cd (0.000, 0.873, 0.627)
Cd (0.000, 0.627, 0.127)
Cd (0.000, 0.127, 0.373)
In (0.000, 0.000, 0.000)
In (0.000, 0.500, 0.500)

Formation energy from the elements ... -0.4149 eV per atom



A plane-wave DFT calculation with meta-GGA SCAN was carried out for a crystal of Ho2CN2O2 relaxed with PBEsol.

Cell: 3.663 3.663 8.090 Å, 90.00 90.00 120.00°
Element x y z (fractional)
C (0.000, 0.000, 0.500)
Ho (0.667, 0.333, 0.824)
Ho (0.333, 0.667, 0.176)
O (0.667, 0.333, 0.102)
O (0.333, 0.667, 0.898)
N (0.000, 0.000, 0.653)
N (0.000, 0.000, 0.347)

E_form (uncorrected) ... -2.4576 eV per atom



A plane-wave DFT calculation with meta-GGA SCAN was carried out for a crystal of SmSb2Au relaxed with PBEsol.

Cell: 4.372 4.372 9.992 Å, 90.00 90.00 90.00°
Element x y z (fractional)
Sb (0.000, 0.000, 0.500)
Sb (0.500, 0.500, 0.500)
Sb (0.000, 0.500, 0.818)
Sb (0.500, 0.000, 0.182)
Au (0.000, 0.000, 0.000)
Au (0.500, 0.500, 0.000)
Sm (0.000, 0.500, 0.253)
Sm (0.500, 0.000, 0.747)

E_form (uncorrected) ... -0.7894 eV per atom



A plane-wave DFT calculation with meta-GGA SCAN was carried out for a crystal of Sc5Ni relaxed with PBEsol.

Cell: 3.512 4.838 7.481 Å, 90.00 103.58 90.00°
Element x y z (fractional)
Ni (0.500, 0.000, 0.000)
Sc (0.330, 0.500, 0.659)
Sc (0.141, 0.000, 0.281)
Sc (0.000, 0.500, 0.000)
Sc (0.859, 0.000, 0.719)
Sc (0.670, 0.500, 0.341)

Formation energy from the elements ... -0.0158 eV per atom



A plane-wave DFT calculation with meta-GGA SCAN was carried out for a crystal of Sr5Al relaxed with PBEsol.

Cell: 4.011 4.011 16.420 Å, 90.00 90.00 90.00°
Element x y z (fractional)
Sr (0.000, 0.000, 0.886)
Sr (0.000, 0.000, 0.114)
Sr (0.500, 0.500, 0.691)
Sr (0.500, 0.500, 0.309)
Sr (0.000, 0.000, 0.500)
Al (0.500, 0.500, 0.000)

Formation energy from the elements ... -0.0169 eV per atom



A plane-wave DFT calculation with meta-GGA SCAN was carried out for a crystal of CaTa2Fe relaxed with PBEsol.

Cell: 4.656 4.656 4.656 Å, 60.00 60.00 60.00°
Element x y z (fractional)
Ca (0.500, 0.500, 0.500)
Fe (0.250, 0.250, 0.250)
Ta (0.000, 0.000, 0.000)
Ta (0.750, 0.750, 0.750)

Formation energy from the elements ... 0.7779 eV per atom



A plane-wave DFT calculation with meta-GGA SCAN was carried out for a crystal of FeBiTe2 relaxed with PBEsol.

Cell: 6.644 7.415 6.644 Å, 63.38 90.00 116.62°
Element x y z (fractional)
Te (0.551, 0.750, 0.375)
Te (0.199, 0.750, 0.875)
Te (0.875, 0.250, 0.551)
Te (0.375, 0.250, 0.199)
Bi (0.750, 0.500, 0.750)
Bi (0.000, 0.000, 0.000)
Fe (0.250, 0.500, 0.250)
Fe (0.500, 0.000, 0.500)

E_form (uncorrected) ... 0.1685 eV per atom



A plane-wave DFT calculation with meta-GGA SCAN was carried out for a crystal of CrCuPb2 relaxed with PBEsol.

Cell: 3.228 4.816 5.740 Å, 107.31 106.33 90.00°
Element x y z (fractional)
Cr (0.471, 0.520, 0.941)
Cu (0.784, 0.235, 0.569)
Pb (0.014, 0.052, 0.029)
Pb (0.231, 0.693, 0.461)

Formation energy from the elements ... 0.3349 eV per atom



A plane-wave DFT calculation with meta-GGA SCAN was carried out for a crystal of Hg2Se relaxed with PBEsol.

Cell: 5.786 5.786 5.786 Å, 60.00 60.00 60.00°
Element x y z (fractional)
Hg (0.125, 0.125, 0.125)
Hg (0.125, 0.125, 0.625)
Hg (0.125, 0.625, 0.125)
Hg (0.625, 0.125, 0.125)
Se (0.500, 0.500, 0.500)
Se (0.750, 0.750, 0.750)

E_form (uncorrected) ... 0.4801 eV per atom



A plane-wave DFT calculation with meta-GGA SCAN was carried out for a crystal of NaZrAl2 relaxed with PBEsol.

Cell: 5.979 6.074 6.074 Å, 75.98 60.52 60.52°
Element x y z (fractional)
Na (0.500, 0.000, 0.000)
Na (0.250, 0.500, 0.500)
Al (0.875, 0.993, 0.507)
Al (0.375, 0.007, 0.493)
Al (0.618, 0.507, 0.007)
Al (0.132, 0.493, 0.993)
Zr (0.000, 0.000, 0.000)
Zr (0.750, 0.500, 0.500)

Formation energy from the elements ... 0.4150 eV per atom



A plane-wave DFT calculation with meta-GGA SCAN was carried out for a crystal of NbCuI2N relaxed with PBEsol.

Cell: 3.878 5.559 5.559 Å, 90.00 90.00 90.00°
Element x y z (fractional)
I (0.000, 0.000, 0.500)
I (0.000, 0.500, 0.000)
Nb (0.000, 0.000, 0.000)
Cu (0.500, 0.500, 0.500)
N (0.500, 0.000, 0.000)

E_form (uncorrected) ... 0.3617 eV per atom



A plane-wave DFT calculation with meta-GGA SCAN was carried out for a crystal of Pb2SeCl relaxed with PBEsol.

Cell: 3.729 5.161 5.161 Å, 89.94 90.10 90.10°
Element x y z (fractional)
Pb (0.000, 0.500, 0.000)
Pb (0.000, 0.000, 0.500)
Se (0.500, 0.500, 0.500)
Cl (0.500, 0.000, 0.000)

E_form (uncorrected) ... -0.4645 eV per atom



A plane-wave DFT calculation with meta-GGA SCAN was carried out for a crystal of La2InTc relaxed with PBEsol.

Cell: 3.414 3.414 8.773 Å, 90.00 90.00 90.00°
Element x y z (fractional)
In (0.500, 0.500, 0.500)
La (0.000, 0.000, 0.799)
La (0.000, 0.000, 0.201)
Tc (0.500, 0.500, 0.000)

Formation energy from the elements ... -0.1475 eV per atom



A plane-wave DFT calculation with meta-GGA SCAN was carried out for a crystal of SrMn relaxed with PBEsol.

Cell: 3.681 3.681 9.069 Å, 90.00 90.00 120.00°
Element x y z (fractional)
Mn (0.333, 0.667, 0.026)
Mn (0.667, 0.333, 0.974)
Sr (0.333, 0.667, 0.706)
Sr (0.667, 0.333, 0.294)

Formation energy from the elements ... 0.8541 eV per atom



A plane-wave DFT calculation with meta-GGA SCAN was carried out for a crystal of HfBIN2 relaxed with PBEsol.

Cell: 4.044 4.044 5.937 Å, 90.00 90.00 90.00°
Element x y z (fractional)
I (0.000, 0.000, 0.500)
B (0.500, 0.500, 0.500)
Hf (0.000, 0.000, 0.000)
N (0.000, 0.500, 0.000)
N (0.500, 0.000, 0.000)

E_form (uncorrected) ... 1.0317 eV per atom



A plane-wave DFT calculation with meta-GGA SCAN was carried out for a crystal of Pr3Si2S8Br relaxed with PBEsol.

Cell: 7.712 8.666 10.839 Å, 96.58 90.00 116.42°
Element x y z (fractional)
Pr (0.684, 0.609, 0.316)
Pr (0.075, 0.391, 0.184)
Pr (0.391, 0.000, 0.250)
Pr (0.925, 0.609, 0.816)
Pr (0.316, 0.391, 0.684)
Pr (0.609, 0.000, 0.750)
Si (0.694, 0.321, 0.530)
Si (0.306, 0.679, 0.470)
Si (0.626, 0.321, 0.030)
Si (0.374, 0.679, 0.970)
S (0.279, 0.871, 0.952)
S (0.288, 0.429, 0.415)
S (0.896, 0.294, 0.646)
S (0.448, 0.704, 0.162)
S (0.104, 0.706, 0.354)
S (0.408, 0.129, 0.548)
S (0.552, 0.296, 0.838)
S (0.592, 0.871, 0.452)
S (0.602, 0.706, 0.854)
S (0.721, 0.129, 0.048)
S (0.744, 0.296, 0.338)
S (0.859, 0.571, 0.085)
S (0.398, 0.294, 0.146)
S (0.256, 0.704, 0.662)
S (0.712, 0.571, 0.585)
S (0.141, 0.429, 0.915)
Br (0.994, 0.000, 0.250)
Br (0.006, 0.000, 0.750)

E_form (uncorrected) ... -1.7262 eV per atom



A plane-wave DFT calculation with meta-GGA SCAN was carried out for a crystal of Bi2RuRhSe relaxed with PBEsol.

Cell: 4.491 5.281 5.281 Å, 90.00 90.00 90.00°
Element x y z (fractional)
Ru (0.500, 0.500, 0.500)
Rh (0.000, 0.000, 0.000)
Bi (0.000, 0.000, 0.500)
Bi (0.000, 0.500, 0.000)
Se (0.500, 0.000, 0.000)

E_form (uncorrected) ... 0.9031 eV per atom